DFT (PBE) results for a relaxed structure of CaSm2Tl2.

For the density of states at the Fermi level, the calculation gives 12.67 states/eV/cell. The magnetic moment is 0.0002 μB/atom. As for the total energy: -3.560 eV/atom.

The structure belongs to space group P4/mbm (No. 127); the cell edges are 8.605, 8.605 and 4.206 Å and the angles 90.00°, 90.00° and 90.00°. Symmetry generates all atoms from Ca at (0.000, 0.000, 0.000), Sm at (0.171, 0.329, 0.500) and Tl at (0.130, 0.630, 0.000).